Record 1
ErThSc | the Alexandria database | GGA-PBE | relaxed; magnetic moment = 0.0 Bohr magnetons per cell; ΔE to the lowest computed polymorph = 3 meV/atom; space group = P3m1 (156); E_tot = -6.065 eV per atom; formation energy = 0.04 eV/atom
1.0
3.494 0.000 0.000
-1.747 3.026 0.000
0.000 0.000 8.267
Er Th Sc
1 1 1
Direct
0.000 0.000 0.000
0.667 0.333 0.344
0.333 0.667 0.666

Record 2
Er2ThSc2 | the Alexandria database | GGA-PBE | relaxed; magnetic moment = 0.0 Bohr magnetons per cell; ΔE to the lowest computed polymorph = 107 meV/atom; space group = C2/m (12); E_tot = -5.682 eV per atom; formation energy = 0.16 eV/atom
1.0
3.206 -5.164 0.000
3.206 5.164 0.000
-2.742 0.000 8.703
Er Th Sc
4 2 4
Direct
0.017 0.017 0.332
0.276 0.276 0.070
0.724 0.724 0.930
0.983 0.983 0.668
0.328 0.672 0.500
0.672 0.328 0.500
0.124 0.558 0.827
0.442 0.876 0.173
0.558 0.124 0.827
0.876 0.442 0.173